Below is AlCuSbI2 after structural relaxation, with properties calculated at the PBE level.

Unit cell a=5.619 b=5.619 c=4.978 alpha=90.00 beta=90.00 gamma=90.00
Space group P4/mmm (No. 123)
Asymmetric unit:
1 Al 0.000 0.000 0.000 [1 per cell]
2 Cu 0.500 0.500 0.500 [1 per cell]
3 Sb 0.500 0.500 0.000 [1 per cell]
4 I 0.000 0.500 0.500 [2 per cell]

Properties
- volume (Å³/cell) = 157
- offset from the most stable computed form (kJ/mol of formula units) = 0
- calculated density (g/cm3) = 4.92
- D(E_F) (states/eV/f.u.) = 4.2
- formation energy from raw total energies (meV per atom) = 397